Record 1
The following is a DFT calculation (GGA-PBE) of a relaxed structure of HfTi5Re6.

Cell lengths 4.446, 6.297, 7.022 Å; angles 90.00, 108.49, 90.00 degrees
Fractional positions:
Re: 0.831 0.747 0.661
Re: 0.831 0.253 0.661
Re: 0.500 0.257 0.000
Re: 0.500 0.743 0.000
Re: 0.169 0.747 0.339
Re: 0.169 0.253 0.339
Hf: 0.000 0.000 0.000
Ti: 0.667 0.500 0.334
Ti: 0.332 0.000 0.664
Ti: 0.000 0.500 0.000
Ti: 0.668 0.000 0.336
Ti: 0.333 0.500 0.666


Record 2
The following is a DFT calculation (GGA-PBE) of a relaxed structure of Hf2TiRe.

Cell lengths 3.280, 3.280, 6.991 Å; angles 90.00, 90.00, 90.00 degrees
Fractional positions:
Re: 0.500 0.500 0.000
Hf: 0.000 0.000 0.773
Hf: 0.000 0.000 0.227
Ti: 0.500 0.500 0.500

Output
energy above the most stable polymorph in this dataset = 14 meV per atom


Record 3
The following is a DFT calculation (GGA-PBE) of a relaxed structure of HfTiRe.

Cell lengths 5.306, 5.306, 5.306 Å; angles 90.76, 117.92, 121.23 degrees
Fractional positions:
Hf: 0.250 0.123 0.873
Hf: 0.750 0.877 0.127
Ti: 0.500 0.500 0.500
Ti: 0.000 0.500 0.000
Re: 0.000 0.500 0.500
Re: 0.500 0.000 0.500

Output
energy above the most stable polymorph in this dataset = 0 meV per atom


Record 4
The following is a DFT calculation (GGA-PBE) of a relaxed structure of Hf4Ti2Re.

Cell lengths 5.051, 5.051, 7.508 Å; angles 70.35, 70.35, 90.00 degrees
Fractional positions:
Re: 0.000 0.000 0.000
Hf: 0.191 0.191 0.617
Hf: 0.809 0.809 0.383
Hf: 0.000 0.500 0.000
Hf: 0.500 0.000 0.000
Ti: 0.395 0.395 0.210
Ti: 0.605 0.605 0.790


Record 5
The following is a DFT calculation (GGA-PBE) of a relaxed structure of HfTiRe.

Cell lengths 3.100, 3.100, 6.537 Å; angles 90.00, 90.00, 120.00 degrees
Fractional positions:
Re: 0.000 0.000 0.013
Hf: 0.333 0.667 0.687
Ti: 0.667 0.333 0.300

Output
energy above the most stable polymorph in this dataset = 407 meV per atom


Record 6
The following is a DFT calculation (GGA-PBE) of a relaxed structure of HfTi2Re3.

Cell lengths 3.181, 3.181, 9.514 Å; angles 90.00, 90.00, 90.00 degrees
Fractional positions:
Hf: 0.500 0.500 0.500
Ti: 0.500 0.500 0.838
Ti: 0.500 0.500 0.162
Re: 0.000 0.000 0.000
Re: 0.000 0.000 0.679
Re: 0.000 0.000 0.321


| no. | energy of formation (meV per atom) | E (eV per atom) | DOS(E_F) (states/eV/f.u.) |
| --- | --- | --- | --- |
| 1 | -364 | -10.707 | 10.30 |
| 2 | -132 | -10.194 | 4.95 |
| 3 | -356 | -10.455 | 3.23 |
| 4 | 850 | -8.872 | 11.07 |
| 5 | 51 | -10.048 | 2.31 |
| 6 | -348 | -10.863 | 6.21 |